1.
A relaxed structure of Pu3Mn3Al, computed with GGA-PBE.

a = 4.454 Å, b = 8.268 Å, c = 13.983 Å
α = 90.00°, β = 90.00°, γ = 90.00°
Space group Cmcm (No. 63)
One atom of each set of equivalent atoms:
Pu (0.000, 0.021, 0.250)
Pu (0.000, 0.315, 0.115)
Mn (0.000, 0.260, 0.750)
Mn (0.000, 0.409, 0.579)
Al (0.000, 0.000, 0.000)


2.
A relaxed structure of AgH2O, computed with GGA-PBE.

Output
Excess energy over the best structure of this formula in the dataset (meV per atom): 590

a = 6.422 Å, b = 6.422 Å, c = 6.422 Å
α = 90.00°, β = 90.00°, γ = 90.00°
Space group Fd-3m (No. 227, origin choice 2)
One atom of each set of equivalent atoms:
Ag (0.125, 0.125, 0.125)
H (0.000, 0.000, 0.500)
O (0.125, 0.125, 0.625)


3.
A relaxed structure of Ca12As3P5, computed with GGA-PBE.

a = 17.087 Å, b = 17.087 Å, c = 17.087 Å
α = 90.00°, β = 90.00°, γ = 90.00°
Space group Ia-3d (No. 230)
One atom of each set of equivalent atoms:
Ca (0.023, 0.063, 0.653)
As (0.000, 0.250, 0.125)
P (0.000, 0.000, 0.000)
P (0.000, 0.250, 0.375)


4.
A relaxed structure of Pr7In, computed with GGA-PBE.

a = 10.266 Å, b = 10.266 Å, c = 10.266 Å
α = 90.00°, β = 90.00°, γ = 90.00°
Space group Fm-3m (No. 225)
One atom of each set of equivalent atoms:
Pr (0.000, 0.000, 0.000)
Pr (0.000, 0.250, 0.250)
In (0.000, 0.000, 0.500)


What are the calculated total energy values for these records? In order: -10.643, -3.628, -4.211, -4.611 eV per atom.